Record 1
# KAc5S6, relaxed, DFT PBE
data_KAc5S6
_cell_length_a 7.491
_cell_length_b 7.491
_cell_length_c 7.504
_cell_angle_alpha 99.57
_cell_angle_beta 99.57
_cell_angle_gamma 119.95
_space_group_name_H-M_alt 'P 1'
_space_group_IT_number 1
_space_group_name_Hall 'P 1'
loop_
_atom_site_label
_atom_site_type_symbol
_atom_site_fract_x
_atom_site_fract_y
_atom_site_fract_z
_atom_site_occupancy
K1 K 0.000 0.000 0.000 1
Ac1 Ac 0.163 0.837 0.500 1
Ac2 Ac 0.334 0.666 0.000 1
Ac3 Ac 0.500 0.500 0.500 1
Ac4 Ac 0.666 0.334 0.000 1
Ac5 Ac 0.837 0.163 0.500 1
S1 S 0.085 0.424 0.255 1
S2 S 0.255 0.255 0.751 1
S3 S 0.424 0.085 0.255 1
S4 S 0.576 0.915 0.745 1
S5 S 0.745 0.745 0.249 1
S6 S 0.915 0.576 0.745 1
# * formation energy from raw total energies: -1.945 eV/atom

Record 2
# CdSb2Pt, relaxed, DFT PBE
data_CdSb2Pt
_cell_length_a 4.101
_cell_length_b 4.101
_cell_length_c 7.307
_cell_angle_alpha 106.47
_cell_angle_beta 106.47
_cell_angle_gamma 60.21
_space_group_name_H-M_alt 'P 1'
_space_group_IT_number 1
_space_group_name_Hall 'P 1'
loop_
_atom_site_label
_atom_site_type_symbol
_atom_site_fract_x
_atom_site_fract_y
_atom_site_fract_z
_atom_site_occupancy
Cd1 Cd 0.000 0.000 0.000 1
Sb1 Sb 0.232 0.232 0.694 1
Sb2 Sb 0.768 0.768 0.306 1
Pt1 Pt 0.500 0.500 0.500 1
# * formation energy from raw total energies: -0.229 eV/atom

Record 3
# TlWBr2, relaxed, DFT PBE
data_TlWBr2
_cell_length_a 3.304
_cell_length_b 3.304
_cell_length_c 11.382
_cell_angle_alpha 97.35
_cell_angle_beta 97.35
_cell_angle_gamma 60.00
_space_group_name_H-M_alt 'P 1'
_space_group_IT_number 1
_space_group_name_Hall 'P 1'
loop_
_atom_site_label
_atom_site_type_symbol
_atom_site_fract_x
_atom_site_fract_y
_atom_site_fract_z
_atom_site_occupancy
Tl1 Tl 0.000 0.000 0.000 1
W1 W 0.500 0.500 0.500 1
Br1 Br 0.214 0.214 0.663 1
Br2 Br 0.786 0.786 0.337 1
# * relative energy among the computed polymorphs: 34 meV per atom
# * formation energy from raw total energies: 0.285 eV/atom

Record 4
# LiHfSe3, relaxed, DFT PBE
data_LiHfSe3
_cell_length_a 4.618
_cell_length_b 4.618
_cell_length_c 4.618
_cell_angle_alpha 90.00
_cell_angle_beta 90.00
_cell_angle_gamma 90.00
_space_group_name_H-M_alt 'P 1'
_space_group_IT_number 1
_space_group_name_Hall 'P 1'
loop_
_atom_site_label
_atom_site_type_symbol
_atom_site_fract_x
_atom_site_fract_y
_atom_site_fract_z
_atom_site_occupancy
Li1 Li 0.000 0.000 0.000 1
Hf1 Hf 0.500 0.500 0.500 1
Se1 Se 0.000 0.000 0.500 1
Se2 Se 0.000 0.500 0.000 1
Se3 Se 0.500 0.000 0.000 1
# * relative energy among the computed polymorphs: 981 meV per atom
# * formation energy from raw total energies: -0.017 eV/atom

Record 5
# La2ThPa, relaxed, DFT PBE
data_La2ThPa
_cell_length_a 4.203
_cell_length_b 4.203
_cell_length_c 7.085
_cell_angle_alpha 90.00
_cell_angle_beta 90.00
_cell_angle_gamma 90.00
_space_group_name_H-M_alt 'P 1'
_space_group_IT_number 1
_space_group_name_Hall 'P 1'
loop_
_atom_site_label
_atom_site_type_symbol
_atom_site_fract_x
_atom_site_fract_y
_atom_site_fract_z
_atom_site_occupancy
La1 La 0.000 0.000 0.221 1
La2 La 0.000 0.000 0.779 1
Th1 Th 0.500 0.500 0.500 1
Pa1 Pa 0.500 0.500 0.000 1
# * relative energy among the computed polymorphs: 100 meV per atom
# * E_form: 311 meV per atom

Record 6
# Ga3CuF, relaxed, DFT PBE
data_Ga3CuF
_cell_length_a 4.573
_cell_length_b 4.573
_cell_length_c 4.573
_cell_angle_alpha 90.00
_cell_angle_beta 90.00
_cell_angle_gamma 90.00
_space_group_name_H-M_alt 'P 1'
_space_group_IT_number 1
_space_group_name_Hall 'P 1'
loop_
_atom_site_label
_atom_site_type_symbol
_atom_site_fract_x
_atom_site_fract_y
_atom_site_fract_z
_atom_site_occupancy
Ga1 Ga 0.000 0.000 0.500 1
Ga2 Ga 0.000 0.500 0.000 1
Ga3 Ga 0.500 0.000 0.000 1
Cu1 Cu 0.500 0.500 0.500 1
F1 F 0.000 0.000 0.000 1
# * relative energy among the computed polymorphs: 177 meV per atom
# * formation energy from raw total energies: -0.147 eV/atom

Record 7
# Pm8Al2Pt, relaxed, DFT PBE
data_Pm8Al2Pt
_cell_length_a 9.425
_cell_length_b 9.425
_cell_length_c 9.425
_cell_angle_alpha 146.91
_cell_angle_beta 135.91
_cell_angle_gamma 56.22
_space_group_name_H-M_alt 'P 1'
_space_group_IT_number 1
_space_group_name_Hall 'P 1'
loop_
_atom_site_label
_atom_site_type_symbol
_atom_site_fract_x
_atom_site_fract_y
_atom_site_fract_z
_atom_site_occupancy
Pm1 Pm 0.130 0.367 0.763 1
Pm2 Pm 0.197 0.197 0.000 1
Pm3 Pm 0.253 0.000 0.253 1
Pm4 Pm 0.397 0.633 0.763 1
Pm5 Pm 0.603 0.367 0.237 1
Pm6 Pm 0.747 0.000 0.747 1
Pm7 Pm 0.803 0.803 0.000 1
Pm8 Pm 0.870 0.633 0.237 1
Al1 Al 0.315 0.815 0.500 1
Al2 Al 0.685 0.185 0.500 1
Pt1 Pt 0.000 0.500 0.500 1
# * E_form: -294 meV per atom

Record 8
# CeGe4Rh2, relaxed, DFT PBE
data_CeGe4Rh2
_cell_length_a 17.340
_cell_length_b 4.305
_cell_length_c 6.646
_cell_angle_alpha 90.00
_cell_angle_beta 90.00
_cell_angle_gamma 90.00
_space_group_name_H-M_alt 'P 1'
_space_group_IT_number 1
_space_group_name_Hall 'P 1'
loop_
_atom_site_label
_atom_site_type_symbol
_atom_site_fract_x
_atom_site_fract_y
_atom_site_fract_z
_atom_site_occupancy
Ce1 Ce 0.141 0.250 0.001 1
Ce2 Ce 0.359 0.750 0.501 1
Ce3 Ce 0.641 0.250 0.499 1
Ce4 Ce 0.859 0.750 0.999 1
Ge1 Ge 0.034 0.750 0.860 1
Ge2 Ge 0.066 0.250 0.467 1
Ge3 Ge 0.182 0.750 0.302 1
Ge4 Ge 0.192 0.750 0.718 1
Ge5 Ge 0.308 0.250 0.218 1
Ge6 Ge 0.318 0.250 0.802 1
Ge7 Ge 0.434 0.750 0.967 1
Ge8 Ge 0.466 0.250 0.360 1
Ge9 Ge 0.534 0.750 0.640 1
Ge10 Ge 0.566 0.250 0.033 1
Ge11 Ge 0.682 0.750 0.198 1
Ge12 Ge 0.692 0.750 0.782 1
Ge13 Ge 0.808 0.250 0.282 1
Ge14 Ge 0.818 0.250 0.698 1
Ge15 Ge 0.934 0.750 0.533 1
Ge16 Ge 0.966 0.250 0.140 1
Rh1 Rh 0.030 0.750 0.250 1
Rh2 Rh 0.210 0.250 0.514 1
Rh3 Rh 0.290 0.750 0.014 1
Rh4 Rh 0.470 0.250 0.750 1
Rh5 Rh 0.530 0.750 0.250 1
Rh6 Rh 0.710 0.250 0.986 1
Rh7 Rh 0.790 0.750 0.486 1
Rh8 Rh 0.970 0.250 0.750 1
# * E_form: -658 meV per atom

Record 9
# NaLa3Sb, relaxed, DFT PBE
data_NaLa3Sb
_cell_length_a 6.138
_cell_length_b 6.138
_cell_length_c 6.138
_cell_angle_alpha 90.00
_cell_angle_beta 90.00
_cell_angle_gamma 90.00
_space_group_name_H-M_alt 'P 1'
_space_group_IT_number 1
_space_group_name_Hall 'P 1'
loop_
_atom_site_label
_atom_site_type_symbol
_atom_site_fract_x
_atom_site_fract_y
_atom_site_fract_z
_atom_site_occupancy
Na1 Na 0.000 0.000 0.000 1
La1 La 0.000 0.500 0.500 1
La2 La 0.500 0.000 0.500 1
La3 La 0.500 0.500 0.000 1
Sb1 Sb 0.500 0.500 0.500 1
# * relative energy among the computed polymorphs: 0 meV per atom
# * formation energy from raw total energies: -0.047 eV/atom

Record 10
# NaTl3Pt, relaxed, DFT PBE
data_NaTl3Pt
_cell_length_a 6.463
_cell_length_b 10.148
_cell_length_c 8.138
_cell_angle_alpha 90.00
_cell_angle_beta 90.00
_cell_angle_gamma 90.00
_space_group_name_H-M_alt 'P 1'
_space_group_IT_number 1
_space_group_name_Hall 'P 1'
loop_
_atom_site_label
_atom_site_type_symbol
_atom_site_fract_x
_atom_site_fract_y
_atom_site_fract_z
_atom_site_occupancy
Na1 Na 0.243 0.250 0.053 1
Na2 Na 0.257 0.750 0.553 1
Na3 Na 0.743 0.250 0.447 1
Na4 Na 0.757 0.750 0.947 1
Tl1 Tl 0.124 0.520 0.829 1
Tl2 Tl 0.124 0.980 0.829 1
Tl3 Tl 0.211 0.250 0.608 1
Tl4 Tl 0.289 0.750 0.108 1
Tl5 Tl 0.376 0.020 0.329 1
Tl6 Tl 0.376 0.480 0.329 1
Tl7 Tl 0.624 0.520 0.671 1
Tl8 Tl 0.624 0.980 0.671 1
Tl9 Tl 0.711 0.250 0.892 1
Tl10 Tl 0.789 0.750 0.392 1
Tl11 Tl 0.876 0.020 0.171 1
Tl12 Tl 0.876 0.480 0.171 1
Pt1 Pt 0.000 0.000 0.500 1
Pt2 Pt 0.000 0.500 0.500 1
Pt3 Pt 0.500 0.000 0.000 1
Pt4 Pt 0.500 0.500 0.000 1
# * relative energy among the computed polymorphs: 0 meV per atom
# * E_form: -93 meV per atom

Record 11
# YMoOs2, relaxed, DFT PBE
data_YMoOs2
_cell_length_a 3.041
_cell_length_b 4.646
_cell_length_c 5.030
_cell_angle_alpha 90.00
_cell_angle_beta 98.18
_cell_angle_gamma 90.00
_space_group_name_H-M_alt 'P 1'
_space_group_IT_number 1
_space_group_name_Hall 'P 1'
loop_
_atom_site_label
_atom_site_type_symbol
_atom_site_fract_x
_atom_site_fract_y
_atom_site_fract_z
_atom_site_occupancy
Y1 Y 0.000 0.000 0.000 1
Mo1 Mo 0.776 0.500 0.379 1
Os1 Os 0.416 0.000 0.512 1
Os2 Os 0.452 0.500 0.830 1
# * relative energy among the computed polymorphs: 225 meV per atom
# * E_form: 299 meV per atom

Record 12
# SrMg2Te, relaxed, DFT PBE
data_SrMg2Te
_cell_length_a 5.629
_cell_length_b 5.629
_cell_length_c 5.629
_cell_angle_alpha 60.00
_cell_angle_beta 60.00
_cell_angle_gamma 60.00
_space_group_name_H-M_alt 'P 1'
_space_group_IT_number 1
_space_group_name_Hall 'P 1'
loop_
_atom_site_label
_atom_site_type_symbol
_atom_site_fract_x
_atom_site_fract_y
_atom_site_fract_z
_atom_site_occupancy
Sr1 Sr 0.000 0.000 0.000 1
Mg1 Mg 0.500 0.500 0.500 1
Mg2 Mg 0.750 0.750 0.750 1
Te1 Te 0.250 0.250 0.250 1
# * formation energy from raw total energies: -0.324 eV/atom

Density values (in g/cm³) by entry order: 6.594 9.083 8.553 7.122 9.830 5.064 7.411 8.523 4.031 10.343 13.346 3.473.
Volume values (in Å³/atom) by entry order: 28.678 25.185 26.601 19.693 31.289 19.132 28.703 17.716 46.259 26.690 17.584 31.533.
DFT total energy values (in eV per cell) by entry order: -69.7 -16.1 -17.5 -22.4 -25.5 -15.8 -54.8 -174.8 -20.5 -59.7 -38.6 -9.3.